Entry 1:
Entry from the Alexandria database: a relaxed structure of CdSnHgF2 (PBE).

Cell and atoms, written as extended XYZ:
```
5
Lattice="4.500 0.000 0.000 0.000 4.500 0.000 0.000 0.000 5.755" Properties=species:S:1:pos:R:3 pbc="T T T"
Cd 0.000 0.000 0.000
Sn 0.000 0.000 2.878
Hg 2.250 2.250 0.000
F 0.000 2.250 2.878
F 2.250 0.000 2.878
```

Values from the calculation:
The calculation puts the energy relative to the elements, uncorrected at -6.2 eV per formula unit. The final energy is -3.02 eV per atom. The energy above the lowest structure with this stoichiometry is 0.000 eV/f.u.

Entry 2:
Entry from the Alexandria database: a relaxed structure of Pm3Ho (PBE).

Cell and atoms, written as extended XYZ:
```
4
Lattice="0.000 4.070 4.070 4.070 0.000 4.070 4.070 4.070 0.000" Properties=species:S:1:pos:R:3 pbc="T T T"
Pm 0.000 0.000 0.000
Pm 2.035 2.035 2.035
Pm 6.105 6.105 6.105
Ho 4.070 4.070 4.070
```

Values from the calculation:
For the energy relative to the elements, the calculation gives 0.137 eV per atom. The final energy is -4.57 eV per atom. The energy above the lowest structure with this stoichiometry is 0.549 eV/f.u.

Entry 3:
Entry from the Alexandria database: a relaxed structure of KMgRe (PBE).

Cell and atoms, written as extended XYZ:
```
3
Lattice="-1.328 2.335 6.124 1.328 -2.335 6.124 1.328 2.335 -6.124" Properties=species:S:1:pos:R:3 pbc="T T T"
K 0.000 0.000 0.000
Mg 0.000 0.000 8.872
Re 0.000 0.000 3.529
```

Values from the calculation:
For the energy relative to the elements, the calculation gives 1.011 eV per atom. The final energy is -4.04 eV per atom. The energy above the lowest structure with this stoichiometry is 0.395 eV/f.u.

Entry 4:
Entry from the Alexandria database: a relaxed structure of Hg2TeCl2 (PBE).

Cell and atoms, written as extended XYZ:
```
20
Lattice="10.105 0.000 0.000 0.000 7.805 0.000 -1.823 0.000 9.294" Properties=species:S:1:pos:R:3 pbc="T T T"
Hg -0.208 0.968 1.774
Hg -1.119 2.934 6.421
Hg 1.710 0.794 8.393
Hg 2.621 3.108 3.746
Hg 5.661 4.697 5.548
Hg 6.572 7.010 0.901
Hg 9.401 4.870 2.873
Hg 8.490 6.836 7.520
Te 0.250 0.554 6.156
Te 1.161 3.348 1.509
Te 7.121 4.456 7.785
Te 8.032 7.250 3.138
Cl 0.701 4.708 5.355
Cl 1.612 6.998 0.707
Cl 4.848 1.612 0.943
Cl 3.937 2.290 5.590
Cl 4.345 5.514 3.704
Cl 3.434 6.193 8.351
Cl 6.670 0.806 8.587
Cl 7.582 3.096 3.940
```

Values from the calculation:
The calculation puts the energy relative to the elements, uncorrected at -2.3 eV per formula unit. The final energy is -1.96 eV per atom. The energy above the lowest structure with this stoichiometry is 0.000 eV/f.u.

Entry 5:
Entry from the Alexandria database: a relaxed structure of Sc6Zn2CN (PBE).

Cell and atoms, written as extended XYZ:
```
10
Lattice="0.000 4.461 4.461 4.461 0.000 4.461 4.461 4.461 0.000" Properties=species:S:1:pos:R:3 pbc="T T T"
Sc 4.461 4.461 2.235
Sc 4.461 2.235 4.461
Sc 6.687 4.461 4.461
Sc 2.235 4.461 4.461
Sc 4.461 6.687 4.461
Sc 4.461 4.461 6.687
Zn 2.231 2.231 2.231
Zn 6.692 6.692 6.692
C 0.000 0.000 0.000
N 4.461 4.461 4.461
```

Values from the calculation:
The calculation puts the energy relative to the elements, uncorrected at -7.0 eV per formula unit. The final energy is -6.51 eV per atom.

Entry 6:
Entry from the Alexandria database: a relaxed structure of LiLaTbGe (PBE).

Cell and atoms, written as extended XYZ:
```
4
Lattice="0.000 3.668 3.668 3.668 0.000 3.668 3.668 3.668 0.000" Properties=species:S:1:pos:R:3 pbc="T T T"
Li 0.000 0.000 0.000
La 1.834 1.834 1.834
Tb 5.502 5.502 5.502
Ge 3.668 3.668 3.668
```

Values from the calculation:
For the energy relative to the elements, the calculation gives -0.413 eV per atom. The final energy is -4.44 eV per atom.

Entry 7:
Entry from the Alexandria database: a relaxed structure of Pr2ScTl3Se6 (PBE).

Cell and atoms, written as extended XYZ:
```
12
Lattice="3.673 -6.350 0.000 3.673 6.350 0.000 -2.445 0.000 7.739" Properties=species:S:1:pos:R:3 pbc="T T T"
Pr 3.673 4.237 0.000
Pr 3.673 -4.237 0.000
Sc 3.673 0.000 0.000
Tl -1.222 0.000 3.869
Tl 2.451 2.165 3.869
Tl 2.451 -2.165 3.869
Se 0.084 1.975 6.159
Se 1.383 0.000 1.622
Se 0.084 -1.975 6.159
Se 4.817 1.975 1.580
Se 3.518 0.000 6.116
Se 4.817 -1.975 1.580
```

Values from the calculation:
The calculation puts the energy relative to the elements, uncorrected at -15.9 eV per formula unit. The final energy is -4.98 eV per atom.

Entry 8:
Entry from the Alexandria database: a relaxed structure of Zn2NiAs (PBE).

Cell and atoms, written as extended XYZ:
```
4
Lattice="3.329 0.000 0.000 0.000 3.329 0.000 0.000 0.000 5.277" Properties=species:S:1:pos:R:3 pbc="T T T"
Zn 0.000 0.000 0.000
Zn 1.664 1.664 1.251
Ni 1.664 1.664 3.911
As 0.000 0.000 2.781
```

Values from the calculation:
For the energy relative to the elements, the calculation gives -0.003 eV per atom. The final energy is -3.25 eV per atom.

Q: What is the formula in the eighth record?
A: Zn2NiAs